# 1
VASP calculation (PBE-GGA) on a relaxed structure of Hg2I2O7.

It has space group C2/m (No. 12), with a = 7.7900 Å, b = 8.5171 Å, c = 6.0072 Å, α = 90.00°, β = 91.19° and γ = 90.00°. The inequivalent atoms are Hg at (0.0000, 0.2091, 0.0000), I at (0.2496, 0.0000, 0.3904), O at (0.0000, 0.5000, 0.5000), O at (0.0160, 0.0000, 0.2587) and O at (0.2087, 0.3237, 0.7857).

The final energy comes out at -3.7344 eV per atom. The total moment comes out at 0.000 μB/atom.

=====

# 2
VASP calculation (PBE-GGA) on a relaxed structure of HgIO2.

It has space group C2/m (No. 12), with a = 7.0575 Å, b = 7.2456 Å, c = 3.5500 Å, α = 90.00°, β = 97.57° and γ = 90.00°. The inequivalent atoms are Hg at (0.0000, 0.0000, 0.0000), I at (0.0000, 0.5000, 0.5000) and O at (0.2042, 0.0000, 0.4823).

The final energy comes out at -3.0053 eV per atom. The total moment comes out at 0.000 μB/atom.